This record from the Alexandria database describes a geometry-optimized ZrAlPt2 structure. The functional is PBE.

Output
- calculated total energy (Ry per atom) = -0.515
- ΔH_f (0 K) (eV per atom) = -0.910
- crystal system = monoclinic

Cell: 4.5601 2.9447 5.1654 Å, 79.96 90.00 90.00°
Last column: nearest neighbours and their distance in Å.
Sites, in units of the cell vectors:
1 Zr 0.0000 0.5277 0.4391  6 Pt 2.63-2.90, 2 Zr 2.94
2 Al 0.5000 0.7574 0.8332  7 Pt 2.64-2.88, 2 Al 2.94
3 Pt 0.0000 0.1563 0.9411  2 Zr 2.63-2.90, 4 Al 2.67-2.88, 4 Pt 2.88-2.94
4 Pt 0.5000 0.0587 0.2866  3 Al 2.64-2.84, 4 Zr 2.80-2.85, 4 Pt 2.88-2.94